1.
## ZnFeOs3 (PBEsol)

Data for a relaxed ZnFeOs3 crystal.

Cell: 4.388 4.388 4.388 Å, 90.00 90.00 90.00°
Atoms (fractional coordinates):
Zn (0.000, 0.000, 0.000)
Fe (0.500, 0.500, 0.500)
Os (0.000, 0.000, 0.500)
Os (0.000, 0.500, 0.000)
Os (0.500, 0.000, 0.000)

Its formation energy is 1137 kJ/mol of formula units. The uncorrected energy comes out at -35.4 eV/cell.



2.
## ZrFe4Os (PBEsol)

Data for a relaxed ZrFe4Os crystal.

Cell: 4.749 4.749 4.749 Å, 60.00 60.00 60.00°
Atoms (fractional coordinates):
Zr (0.000, 0.000, 0.000)
Fe (0.376, 0.376, 0.376)
Fe (0.376, 0.376, 0.872)
Fe (0.376, 0.872, 0.376)
Fe (0.872, 0.376, 0.376)
Os (0.750, 0.750, 0.750)

Its formation energy is -57 kJ/mol of formula units. The uncorrected energy comes out at -57.7 eV/cell.



3.
## ZrFe2Os (PBEsol)

Data for a relaxed ZrFe2Os crystal.

Cell: 2.760 2.760 7.113 Å, 90.00 90.00 90.00°
Atoms (fractional coordinates):
Zr (0.000, 0.000, 0.000)
Fe (0.500, 0.500, 0.281)
Fe (0.500, 0.500, 0.719)
Os (0.000, 0.000, 0.500)

Its formation energy is 44 kJ/mol of formula units. The uncorrected energy comes out at -38.8 eV/cell.



4.
## ZrFe2Os (PBEsol)

Data for a relaxed ZrFe2Os crystal.

Cell: 3.166 4.176 4.291 Å, 90.00 90.00 90.00°
Atoms (fractional coordinates):
Zr (0.000, 0.000, 0.000)
Fe (0.000, 0.500, 0.500)
Fe (0.500, 0.500, 0.000)
Os (0.500, 0.000, 0.500)

Its formation energy is -2 kJ/mol of formula units. The uncorrected energy comes out at -39.3 eV/cell.



5.
## ZrFe2Os (PBEsol)

Data for a relaxed ZrFe2Os crystal.

Cell: 2.704 4.165 5.068 Å, 90.00 101.06 90.00°
Atoms (fractional coordinates):
Zr (0.000, 0.000, 0.000)
Fe (0.553, 0.000, 0.490)
Fe (0.664, 0.500, 0.260)
Os (0.261, 0.500, 0.693)

Its formation energy is 30 kJ/mol of formula units. The uncorrected energy comes out at -38.9 eV/cell.



6.
## FeP (PBEsol)

Data for a relaxed FeP crystal.

Cell: 4.120 4.120 4.221 Å, 90.00 90.00 140.94°
Atoms (fractional coordinates):
Fe (0.203, 0.797, 0.750)
Fe (0.797, 0.203, 0.250)
P (0.084, 0.916, 0.250)
P (0.916, 0.084, 0.750)

Its formation energy is -104 kJ/mol of formula units. The uncorrected energy comes out at -31.7 eV/cell.



7.
## FeP4 (PBEsol)

Data for a relaxed FeP4 crystal.

Cell: 5.724 5.724 10.974 Å, 90.41 90.41 128.11°
Atoms (fractional coordinates):
Fe (0.000, 0.500, 0.500)
Fe (0.075, 0.925, 0.750)
Fe (0.500, 0.000, 0.000)
Fe (0.925, 0.075, 0.250)
P (0.056, 0.869, 0.950)
P (0.067, 0.528, 0.294)
P (0.131, 0.944, 0.550)
P (0.225, 0.370, 0.784)
P (0.337, 0.545, 0.976)
P (0.370, 0.225, 0.284)
P (0.455, 0.663, 0.524)
P (0.472, 0.933, 0.206)
P (0.528, 0.067, 0.794)
P (0.545, 0.337, 0.476)
P (0.630, 0.775, 0.716)
P (0.663, 0.455, 0.024)
P (0.775, 0.630, 0.216)
P (0.869, 0.056, 0.450)
P (0.933, 0.472, 0.706)
P (0.944, 0.131, 0.050)

Its formation energy is -220 kJ/mol of formula units. The uncorrected energy comes out at -137.6 eV/cell.



8.
## FeP (PBEsol)

Data for a relaxed FeP crystal.

Cell: 2.619 2.619 8.498 Å, 90.00 90.00 120.00°
Atoms (fractional coordinates):
Fe (0.333, 0.667, 0.115)
Fe (0.667, 0.333, 0.885)
P (0.333, 0.667, 0.691)
P (0.667, 0.333, 0.309)

Its formation energy is -5 kJ/mol of formula units. The uncorrected energy comes out at -29.6 eV/cell.



9.
## FeP3 (PBEsol)

Data for a relaxed FeP3 crystal.

Cell: 4.675 4.675 4.675 Å, 90.00 90.00 90.00°
Atoms (fractional coordinates):
Fe (0.000, 0.000, 0.000)
Fe (0.500, 0.500, 0.500)
P (0.000, 0.250, 0.500)
P (0.000, 0.750, 0.500)
P (0.250, 0.500, 0.000)
P (0.500, 0.000, 0.250)
P (0.500, 0.000, 0.750)
P (0.750, 0.500, 0.000)

Its formation energy is 151 kJ/mol of formula units. The uncorrected energy comes out at -49.5 eV/cell. As for the energy above the most stable polymorph in this dataset: 0.402 eV/atom.



10.
## FeP4 (PBEsol)

Data for a relaxed FeP4 crystal.

Cell: 4.555 4.549 6.761 Å, 90.00 99.61 90.00°
Atoms (fractional coordinates):
Fe (0.000, 0.000, 0.000)
Fe (0.000, 0.500, 0.500)
P (0.201, 0.192, 0.748)
P (0.201, 0.308, 0.248)
P (0.371, 0.663, 0.085)
P (0.371, 0.837, 0.585)
P (0.629, 0.163, 0.415)
P (0.629, 0.337, 0.915)
P (0.799, 0.692, 0.752)
P (0.799, 0.808, 0.252)

Its formation energy is -195 kJ/mol of formula units. The uncorrected energy comes out at -68.3 eV/cell.



11.
## FeP4 (PBEsol)

Data for a relaxed FeP4 crystal.

Cell: 5.628 5.628 5.467 Å, 90.00 90.00 127.67°
Atoms (fractional coordinates):
Fe (0.175, 0.825, 0.750)
Fe (0.825, 0.175, 0.250)
P (0.003, 0.636, 0.130)
P (0.268, 0.306, 0.199)
P (0.306, 0.268, 0.801)
P (0.364, 0.997, 0.370)
P (0.636, 0.003, 0.870)
P (0.694, 0.732, 0.301)
P (0.732, 0.694, 0.699)
P (0.997, 0.364, 0.630)

Its formation energy is -220 kJ/mol of formula units. The uncorrected energy comes out at -68.8 eV/cell.



12.
## FeP (PBEsol)

Data for a relaxed FeP crystal.

Cell: 5.092 2.999 5.699 Å, 90.00 90.00 90.00°
Atoms (fractional coordinates):
Fe (0.002, 0.250, 0.201)
Fe (0.498, 0.750, 0.701)
Fe (0.502, 0.250, 0.299)
Fe (0.998, 0.750, 0.799)
P (0.190, 0.250, 0.567)
P (0.310, 0.750, 0.067)
P (0.690, 0.250, 0.933)
P (0.810, 0.750, 0.433)

Its formation energy is -141 kJ/mol of formula units. The uncorrected energy comes out at -64.9 eV/cell.